Computed, not measured: HPtSe3 after structural relaxation at the PBE level of DFT.

The structure in POSCAR format:
```
HPtSe3
1.0
5.035 0.000 0.000
0.000 5.035 0.000
0.000 0.000 5.035
H Pt Se
1 1 3
direct
0.000 0.000 0.000
0.500 0.500 0.500
0.000 0.500 0.500
0.500 0.000 0.500
0.500 0.500 0.000
```

As for the crystal system: cubic. The density of states at the Fermi level comes out at 1.17 states/eV/atom. The calculation puts the energy above the most stable polymorph in this dataset at 0.0612 eV/atom.


Computed, not measured: HPtSe2 after structural relaxation at the PBE level of DFT.

The structure in POSCAR format:
```
HPtSe2
1.0
1.498 0.865 7.754
-1.498 0.865 7.754
0.000 -1.730 7.754
H Pt Se
1 1 2
direct
0.000 0.000 0.000
0.500 0.500 0.500
0.396 0.396 0.396
0.604 0.604 0.604
```

As for the crystal system: trigonal. The density of states at the Fermi level comes out at 0.56 states/eV/atom. The calculation puts the energy above the most stable polymorph in this dataset at 0.6439 eV/atom.